No. 1
Material: InFeHg2
Method: DFT, PBE-GGA
State: relaxed

abc: 5.1736 3.1715 5.1719
angles: 92.34 90.00 90.00
Last column: magnetic moment on the atom in μB.
Fractional coordinates of all 4 atoms:
Fe 0.5000 0.7500 0.7500  2.87
Hg 0.0000 0.5032 0.5115  -0.01
Hg 0.0000 0.9968 0.9885  -0.01
In 0.5000 0.2500 0.2500  -0.04

Summary:
The formation energy is 395.7 meV/atom. The density of states at the Fermi level comes out at 2.64 states/eV per cell. The space group is No. 10.



No. 2
Material: InFe4Hg
Method: DFT, PBE-GGA
State: relaxed

abc: 5.0251 5.0251 5.0251
angles: 60.00 60.00 60.00
Last column: magnetic moment on the atom in μB.
Fractional coordinates of all 6 atoms:
Fe 0.8766 0.3745 0.3745  2.47
Hg 0.7500 0.7500 0.7500  -0.04
Fe 0.3745 0.3745 0.3745  2.47
Fe 0.3745 0.3745 0.8766  2.47
In 0.0000 0.0000 0.0000  -0.10
Fe 0.3745 0.8766 0.3745  2.47

Summary:
The formation energy is 271.8 meV/atom. The density of states at the Fermi level comes out at 5.49 states/eV per cell. The space group is No. 216.



No. 3
Material: InFeHg2
Method: DFT, PBE-GGA
State: relaxed

abc: 7.0586 7.0586 4.5990
angles: 70.80 70.80 23.89
Last column: magnetic moment on the atom in μB.
Fractional coordinates of all 4 atoms:
Fe 0.7500 0.7500 0.7500  2.41
In 0.2500 0.2500 0.2500  -0.09
Hg 0.4336 0.4336 0.5669  -0.02
Hg 0.0664 0.0664 0.9331  -0.02

Summary:
The formation energy is 254.2 meV/atom. The density of states at the Fermi level comes out at 3.75 states/eV per cell. The space group is No. 12.



No. 4
Material: InFeHg2
Method: DFT, PBE-GGA
State: relaxed

abc: 9.6826 9.6826 9.6826
angles: 19.08 19.08 19.08
Last column: magnetic moment on the atom in μB.
Fractional coordinates of all 4 atoms:
Hg 0.4902 0.4902 0.4902  -0.03
Fe 0.7500 0.7500 0.7500  2.86
In 0.2500 0.2500 0.2500  -0.01
Hg 0.0098 0.0098 0.0098  -0.03

Summary:
The formation energy is 339.4 meV/atom. The density of states at the Fermi level comes out at 3.64 states/eV per cell. The space group is No. 166.



no.,uncorrected energy (eV per formula unit)
1,-10.2
2,-35.3
3,-10.8
4,-10.4